(1)
Here is MnHIN2 after structural relaxation from the Alexandria database. Energies are from PBEsol.

Summary:
Total magnetic moment: 3.29 μB per cell
V: 11.42 Å³ per atom
Crystal system: tetragonal
VASP energy: -21.91 eV for the cell shown

Lattice parameters (Å, degrees): 3.408 4.093 4.093 90.00 90.00 90.00
Fractional coordinates of all 5 atoms:
I 0.500 0.000 0.000
H 0.000 0.000 0.000
Mn 0.500 0.500 0.500
N 0.000 0.000 0.500
N 0.000 0.500 0.000


(2)
Here is MnTe2HI after structural relaxation from the Alexandria database. Energies are from PBEsol.

Summary:
Total magnetic moment: 5.13 μB per cell
V: 24.42 Å³ per atom
Crystal system: tetragonal
VASP energy: -19.24 eV for the cell shown

Lattice parameters (Å, degrees): 4.305 4.305 6.589 90.00 90.00 90.00
Fractional coordinates of all 5 atoms:
I 0.000 0.000 0.500
H 0.000 0.000 0.000
Te 0.000 0.500 0.000
Te 0.500 0.000 0.000
Mn 0.500 0.500 0.500


(3)
Here is MoH3I after structural relaxation from the Alexandria database. Energies are from PBEsol.

Summary:
Total magnetic moment: 0.00 μB per cell
V: 10.43 Å³ per atom
Crystal system: cubic
VASP energy: -20.06 eV for the cell shown

Lattice parameters (Å, degrees): 3.736 3.736 3.736 90.00 90.00 90.00
Fractional coordinates of all 5 atoms:
I 0.500 0.500 0.500
H 0.000 0.500 0.000
H 0.000 0.000 0.500
H 0.500 0.000 0.000
Mo 0.000 0.000 0.000


(4)
Here is Mo2HPdI after structural relaxation from the Alexandria database. Energies are from PBEsol.

Summary:
Total magnetic moment: 0.00 μB per cell
V: 16.49 Å³ per atom
Crystal system: tetragonal
VASP energy: -26.44 eV for the cell shown

Lattice parameters (Å, degrees): 3.229 5.053 5.053 90.00 90.00 90.00
Fractional coordinates of all 5 atoms:
I 0.000 0.000 0.000
H 0.500 0.000 0.000
Mo 0.000 0.000 0.500
Mo 0.000 0.500 0.000
Pd 0.500 0.500 0.500


(5)
Here is NaHIN2 after structural relaxation from the Alexandria database. Energies are from PBEsol.

Summary:
Total magnetic moment: 6.73 μB per cell
V: 28.09 Å³ per atom
Crystal system: tetragonal
VASP energy: -12.60 eV for the cell shown

Lattice parameters (Å, degrees): 4.917 4.917 5.809 90.00 90.00 90.00
Fractional coordinates of all 5 atoms:
I 0.000 0.000 0.500
Na 0.000 0.000 0.000
H 0.500 0.500 0.500
N 0.000 0.500 0.000
N 0.500 0.000 0.000


(6)
Here is H12PdI8N4 after structural relaxation from the Alexandria database. Energies are from PBEsol.

Summary:
Total magnetic moment: 0.00 μB per cell
V: 19.70 Å³ per atom
Crystal system: monoclinic
VASP energy: -204.71 eV for the cell shown

Lattice parameters (Å, degrees): 8.494 9.374 12.705 103.12 90.00 90.00
Fractional coordinates of all 50 atoms:
I 0.250 0.797 0.598
I 0.750 0.203 0.402
I 0.250 0.109 0.554
I 0.750 0.891 0.446
I 0.250 0.396 0.521
I 0.750 0.604 0.479
I 0.250 0.902 0.954
I 0.750 0.098 0.046
I 0.250 0.191 0.905
I 0.750 0.809 0.095
I 0.250 0.479 0.853
I 0.750 0.521 0.147
I 0.250 0.598 0.107
I 0.750 0.402 0.893
I 0.250 0.683 0.336
I 0.750 0.317 0.664
H 0.520 0.246 0.184
H 0.020 0.754 0.816
H 0.480 0.754 0.816
H 0.980 0.246 0.184
H 0.457 0.352 0.300
H 0.957 0.648 0.700
H 0.543 0.648 0.700
H 0.043 0.352 0.300
H 0.386 0.374 0.183
H 0.886 0.626 0.817
H 0.614 0.626 0.817
H 0.114 0.374 0.183
H 0.381 0.925 0.294
H 0.881 0.075 0.706
H 0.619 0.075 0.706
H 0.119 0.925 0.294
H 0.463 0.949 0.181
H 0.963 0.051 0.819
H 0.537 0.051 0.819
H 0.037 0.949 0.181
H 0.514 0.056 0.300
H 0.014 0.944 0.700
H 0.486 0.944 0.700
H 0.986 0.056 0.300
Pd 0.250 0.150 0.239
Pd 0.750 0.850 0.761
N 0.422 0.296 0.224
N 0.922 0.704 0.776
N 0.578 0.704 0.776
N 0.078 0.296 0.224
N 0.420 0.004 0.255
N 0.920 0.996 0.745
N 0.580 0.996 0.745
N 0.080 0.004 0.255


(7)
Here is HPdIN2 after structural relaxation from the Alexandria database. Energies are from PBEsol.

Summary:
Total magnetic moment: 0.00 μB per cell
V: 21.15 Å³ per atom
Crystal system: tetragonal
VASP energy: -20.20 eV for the cell shown

Lattice parameters (Å, degrees): 3.667 3.667 7.863 90.00 90.00 90.00
Fractional coordinates of all 5 atoms:
I 0.000 0.000 0.500
H 0.500 0.500 0.500
Pd 0.000 0.000 0.000
N 0.000 0.500 0.000
N 0.500 0.000 0.000


(8)
Here is HRhIN2 after structural relaxation from the Alexandria database. Energies are from PBEsol.

Summary:
Total magnetic moment: 0.00 μB per cell
V: 10.76 Å³ per atom
Crystal system: tetragonal
VASP energy: -19.83 eV for the cell shown

Lattice parameters (Å, degrees): 3.537 3.900 3.900 90.00 90.00 90.00
Fractional coordinates of all 5 atoms:
I 0.500 0.000 0.000
H 0.000 0.000 0.000
Rh 0.500 0.500 0.500
N 0.000 0.000 0.500
N 0.000 0.500 0.000